Entry one
4
Lattice="1.359 0.785 9.117 -1.359 0.785 9.117 0.000 -1.569 9.117" Properties=species:S:1:pos:R:3 comment="CoRe2Ag (PBE, optimized geometry)" m_tot_mub_per_fu=0.49 dos_ef_per_ev_atom=1.18 vol_a3_per_atom=14.58 crystal_system=trigonal pbc="T T T"
Co 0.000 0.000 0.000
Re 0.000 0.000 7.075
Re 0.000 0.000 20.274
Ag 0.000 0.000 13.675

---

Entry two
4
Lattice="1.375 0.794 9.074 -1.375 0.794 9.074 0.000 -1.588 9.074" Properties=species:S:1:pos:R:3 comment="CoRe2Ag (PBE, optimized geometry)" m_tot_mub_per_fu=1.74 dos_ef_per_ev_atom=0.75 vol_a3_per_atom=14.86 crystal_system=trigonal pbc="T T T"
Co 0.000 0.000 0.000
Re 0.000 0.000 13.333
Re 0.000 0.000 20.237
Ag 0.000 0.000 6.790

---

Which of them is the most stable? Correct choice: entry two.